A relaxed structure of Mg2NiBiI. Source: the Alexandria database, functional GGA-PBE.

```
5
Lattice="5.3018 0.0000 0.0000 0.0000 4.7797 0.0000 0.0000 0.0000 5.3018" Properties=species:S:1:pos:R:3 pbc="T T T"
Mg 2.6509 0.0000 0.0000
Bi 0.0000 2.3899 0.0000
Mg 0.0000 0.0000 2.6509
I 2.6509 2.3899 2.6509
Ni 0.0000 0.0000 0.0000
```

Properties
Space group: P4/mmm, No. 123
DOS(E_F), states/eV/f.u.: 0.8
Formation energy from raw total energies, meV/atom: -95



A relaxed structure of MgBiI2O. Source: the Alexandria database, functional GGA-PBE.

```
5
Lattice="6.3231 0.0000 0.0000 0.0000 6.3231 0.0000 0.0000 0.0000 4.3351" Properties=species:S:1:pos:R:3 pbc="T T T"
Mg 3.1615 3.1615 2.1675
I 3.1615 0.0000 0.0000
Bi 0.0000 0.0000 0.0000
I 0.0000 3.1615 0.0000
O 0.0000 0.0000 2.1675
```

Properties
Space group: P4/mmm, No. 123
DOS(E_F), states/eV/f.u.: 2.8
Formation energy from raw total energies, meV/atom: -277



What is the formation energy from raw total energies in the first record?
-95 meV/atom